# 1
Compound: HgTe2O
Source: Alexandria
Functional: GGA-PBE
Structure: relaxed

Unit cell a=5.7896 b=5.7896 c=7.6837 alpha=67.87 beta=67.87 gamma=90.00
Closest atoms and distances in Å follow each position.
Positions (direct):
Te 0.5129 0.1250 0.2500  2 O 2.32
Te 0.2371 0.6250 0.2500  2 O 2.32
Te 0.3750 0.4871 0.7500  2 O 2.32
Te 0.8750 0.7629 0.7500  2 O 2.32
Hg 0.0000 0.0000 0.0000  4 Te 3.02
Hg 0.7500 0.2500 0.5000  4 Te 3.02
O 0.5000 0.5000 0.0000  4 Te 2.32
O 0.2500 0.7500 0.5000  4 Te 2.32

- distance to the lowest polymorph of the same formula (meV per atom) = 0
- magnetization (μB/f.u.) = 0.00
- E_form (uncorrected) (eV per atom) = -0.038

---

# 2
Compound: HgTe3O
Source: Alexandria
Functional: GGA-PBE
Structure: relaxed

Unit cell a=4.9081 b=4.9081 c=4.9081 alpha=90.00 beta=90.00 gamma=90.00
Closest atoms and distances in Å follow each position.
Positions (direct):
Te 0.0000 0.5000 0.0000  2 O 2.45
Te 0.0000 0.0000 0.5000  2 O 2.45
Te 0.5000 0.0000 0.0000  2 O 2.45
Hg 0.5000 0.5000 0.5000  12 Te 3.47
O 0.0000 0.0000 0.0000  6 Te 2.45

- distance to the lowest polymorph of the same formula (meV per atom) = 0
- magnetization (μB/f.u.) = 0.00
- E_form (uncorrected) (eV per atom) = 0.220

---

# 3
Compound: ThHgTeO6
Source: Alexandria
Functional: GGA-PBE
Structure: relaxed

Unit cell a=5.1444 b=5.1444 c=10.2969 alpha=90.00 beta=90.00 gamma=90.00
Closest atoms and distances in Å follow each position.
Positions (direct):
Th 0.5000 0.5000 0.1726  6 O 2.30-2.38
Th 0.0000 0.0000 0.6726  6 O 2.30-2.38
Hg 0.5000 0.5000 0.4984  6 O 2.37-2.46
Hg 0.0000 0.0000 0.9984  6 O 2.37-2.46
Te 0.5000 0.5000 0.8332  6 O 1.96-1.97
Te 0.0000 0.0000 0.3332  6 O 1.96-1.97
O 0.1759 0.8241 0.4781  1 Te 1.97
O 0.8241 0.1759 0.4781  1 Te 1.97
O 0.3241 0.3241 0.9781  1 Te 1.97
O 0.6759 0.6759 0.9781  1 Te 1.97
O 0.1855 0.8145 0.1951  1 Te 1.96
O 0.8145 0.1855 0.1951  1 Te 1.96
O 0.3145 0.3145 0.6951  1 Te 1.96
O 0.6855 0.6855 0.6951  1 Te 1.96
O 0.7686 0.2314 0.8247  1 Te 1.96
O 0.2314 0.7686 0.8247  1 Te 1.96
O 0.7314 0.7314 0.3247  1 Te 1.96
O 0.2686 0.2686 0.3247  1 Te 1.96

- magnetization (μB/f.u.) = 0.00
- E_form (uncorrected) (eV per atom) = -1.721

---

# 4
Compound: TiHgTe2O8
Source: Alexandria
Functional: GGA-PBE
Structure: relaxed

Unit cell a=5.5903 b=6.4131 c=6.6532 alpha=48.53 beta=65.16 gamma=64.16
Closest atoms and distances in Å follow each position.
Positions (direct):
Ti 0.0000 0.0000 0.0000  6 O 1.89-2.04
Hg 0.5000 0.5000 0.5000  2 O 2.12
Te 0.2674 0.2384 0.2268  4 O 1.89-2.06
Te 0.7326 0.7616 0.7732  4 O 1.89-2.06
O 0.9112 0.4036 0.7739  1 Ti 1.89, 1 Te 2.06
O 0.6786 0.4856 0.1572  1 Te 1.89
O 0.0888 0.5964 0.2261  1 Ti 1.89, 1 Te 2.06
O 0.3214 0.5144 0.8428  1 Te 1.89
O 0.6307 0.9811 0.2563  1 Te 1.97, 1 Ti 2.04
O 0.3693 0.0189 0.7437  1 Te 1.97, 1 Ti 2.04
O 0.1318 0.9811 0.2563  1 Te 1.97, 1 Ti 2.04
O 0.8682 0.0189 0.7437  1 Te 1.97, 1 Ti 2.04

- magnetization (μB/f.u.) = 0.00
- E_form (uncorrected) (eV per atom) = -1.108

---

# 5
Compound: Tl2HgTeO4
Source: Alexandria
Functional: GGA-PBE
Structure: relaxed

Unit cell a=7.2011 b=7.2011 c=8.1566 alpha=116.99 beta=116.99 gamma=99.12
Closest atoms and distances in Å follow each position.
Positions (direct):
Tl 0.5000 0.0000 0.0000  6 O 2.71-2.90
Tl 0.5000 0.0000 0.5000  6 O 2.71-2.90
Tl 0.0000 0.0000 0.5000  2 O 2.65
Tl 0.5000 0.5000 0.0000  2 O 2.65
Hg 0.0000 0.5000 0.0000  2 O 2.09
Hg 0.0000 0.5000 0.5000  2 O 2.09
Te 0.5000 0.5000 0.5000  6 O 2.22-2.23
Te 0.0000 0.0000 0.0000  6 O 2.22-2.23
O 0.1738 0.7729 0.0116  1 Hg 2.09, 1 Te 2.22
O 0.7271 0.3262 0.4884  1 Hg 2.09, 1 Te 2.22
O 0.2729 0.6738 0.5116  1 Hg 2.09, 1 Te 2.22
O 0.8262 0.2271 0.9884  1 Hg 2.09, 1 Te 2.22
O 0.7004 0.6973 0.8776  2 Te 2.22-2.23
O 0.8027 0.7996 0.6224  2 Te 2.22-2.23
O 0.1973 0.2004 0.3776  2 Te 2.22-2.23
O 0.2996 0.3027 0.1224  2 Te 2.22-2.23

- magnetization (μB/f.u.) = 0.00
- E_form (uncorrected) (eV per atom) = -0.522

---

# 6
Compound: Tl3HgTe2O9
Source: Alexandria
Functional: GGA-PBE
Structure: relaxed

Unit cell a=5.8310 b=5.8310 c=7.5929 alpha=90.00 beta=90.00 gamma=120.00
Closest atoms and distances in Å follow each position.
Positions (direct):
Tl 0.3333 0.6667 0.6584  9 O 2.95-3.09
Tl 0.0000 0.0000 0.0000  12 O 2.71-2.92
Tl 0.6667 0.3333 0.3416  9 O 2.95-3.09
Hg 0.0000 0.0000 0.5000  6 O 2.37
Te 0.3333 0.6667 0.1565  6 O 1.93-2.06
Te 0.6667 0.3333 0.8435  6 O 1.93-2.06
O 0.8331 0.1669 0.7198  1 Te 1.93
O 0.8331 0.6661 0.7198  1 Te 1.93
O 0.3339 0.1669 0.7198  1 Te 1.93
O 0.6661 0.8331 0.2802  1 Te 1.93
O 0.1669 0.3339 0.2802  1 Te 1.93
O 0.1669 0.8331 0.2802  1 Te 1.93
O 0.5000 0.0000 0.0000  2 Te 2.06
O 0.0000 0.5000 0.0000  2 Te 2.06
O 0.5000 0.5000 0.0000  2 Te 2.06

- magnetization (μB/f.u.) = 0.00
- E_form (uncorrected) (eV per atom) = -0.625

---

# 7
Compound: TlHg2TeO6
Source: Alexandria
Functional: GGA-PBE
Structure: relaxed

Unit cell a=5.8550 b=5.8551 c=5.9571 alpha=60.57 beta=60.57 gamma=60.00
Closest atoms and distances in Å follow each position.
Positions (direct):
Tl 0.8160 0.8160 0.5519  6 O 2.41
Hg 0.5661 0.5661 0.3018  3 O 2.25
Hg 0.0654 0.0654 0.8037  3 O 2.25
Te 0.3162 0.3162 0.0515  6 O 1.99-2.00
O 0.5291 0.2104 0.2859  1 Te 1.99
O 0.2104 0.9746 0.2859  1 Te 1.99
O 0.9746 0.5290 0.2860  1 Te 1.99
O 0.4219 0.6579 0.8162  1 Te 2.00
O 0.6579 0.1041 0.8161  1 Te 2.00
O 0.1040 0.4219 0.8162  1 Te 2.00

- magnetization (μB/f.u.) = 0.00
- E_form (uncorrected) (eV per atom) = -0.609

---

# 8
Compound: Tl2HgTeO
Source: Alexandria
Functional: GGA-PBE
Structure: relaxed

Unit cell a=6.6677 b=5.6565 c=6.6677 alpha=90.00 beta=90.00 gamma=90.00
Closest atoms and distances in Å follow each position.
Positions (direct):
Tl 0.0000 0.0000 0.5000  2 Te 3.33
Tl 0.5000 0.0000 0.0000  2 Te 3.33
Te 0.0000 0.0000 0.0000  2 Hg 2.83
Hg 0.0000 0.5000 0.0000  2 Te 2.83
O 0.5000 0.5000 0.5000  8 Tl 4.37, 4 Hg 4.71

- magnetization (μB/f.u.) = 0.00
- E_form (uncorrected) (eV per atom) = 0.546

---

Which of these has the highest E_form (uncorrected)? Tl2HgTeO

---

magnetization of number 5 (Tl2HgTeO4)? 0.00 μB/f.u.

---

Which value of magnetization does entry 2 give? 0.00 μB/f.u.